Record 1
! MgHgSe2 | the Alexandria database | PBE-GGA | relaxed; values from VASP
&SYSTEM
  ibrav = 0, nat = 32, ntyp = 3
/
ATOMIC_SPECIES
Mg 24.30 Mg.upf
Hg 200.59 Hg.upf
Se 78.96 Se.upf
ATOMIC_POSITIONS crystal
Mg 0.018 0.214 0.153
Mg 0.214 0.018 0.653
Mg 0.274 0.468 0.648
Mg 0.468 0.274 0.148
Mg 0.532 0.726 0.852
Mg 0.726 0.532 0.352
Mg 0.786 0.982 0.347
Mg 0.982 0.786 0.847
Hg 0.136 0.317 0.406
Hg 0.263 0.736 0.383
Hg 0.264 0.737 0.117
Hg 0.317 0.136 0.906
Hg 0.683 0.864 0.094
Hg 0.736 0.263 0.883
Hg 0.737 0.264 0.617
Hg 0.864 0.683 0.594
Se 0.006 0.523 0.738
Se 0.059 0.941 0.250
Se 0.194 0.747 0.560
Se 0.199 0.327 0.044
Se 0.253 0.806 0.940
Se 0.327 0.199 0.544
Se 0.452 0.548 0.250
Se 0.477 0.994 0.762
Se 0.523 0.006 0.238
Se 0.548 0.452 0.750
Se 0.673 0.801 0.456
Se 0.747 0.194 0.060
Se 0.801 0.673 0.956
Se 0.806 0.253 0.440
Se 0.941 0.059 0.750
Se 0.994 0.477 0.262
CELL_PARAMETERS angstrom
6.837 -5.094 0.000
6.837 5.094 0.000
-0.985 0.000 13.870
! Calculated total energy   -0.2068 Ry/atom
! Space group   C2/c (15)
! E_form (uncorrected)   -0.597 eV per atom
! Polymorph energy (0 for the lowest one)   125 meV/atom
! Theoretical density   5.26 g/cm3

---

Record 2
! MgHgSe2 | the Alexandria database | PBE-GGA | relaxed; values from VASP
&SYSTEM
  ibrav = 0, nat = 4, ntyp = 3
/
ATOMIC_SPECIES
Mg 24.30 Mg.upf
Hg 200.59 Hg.upf
Se 78.96 Se.upf
ATOMIC_POSITIONS crystal
Mg 0.000 0.000 0.000
Hg 0.497 0.497 0.497
Se 0.369 0.369 0.369
Se 0.877 0.877 0.877
CELL_PARAMETERS angstrom
2.174 1.255 7.024
-2.174 1.255 7.024
0.000 -2.511 7.024
! Calculated total energy   -0.2158 Ry/atom
! Space group   R3m (160)
! E_form (uncorrected)   -0.720 eV per atom
! Polymorph energy (0 for the lowest one)   2 meV/atom
! Theoretical density   5.53 g/cm3

---

Record 3
! MgHgSe2 | the Alexandria database | PBE-GGA | relaxed; values from VASP
&SYSTEM
  ibrav = 0, nat = 8, ntyp = 3
/
ATOMIC_SPECIES
Mg 24.30 Mg.upf
Hg 200.59 Hg.upf
Se 78.96 Se.upf
ATOMIC_POSITIONS crystal
Mg 0.000 0.000 0.000
Mg 0.750 0.250 0.500
Hg 0.250 0.750 0.500
Hg 0.500 0.500 0.000
Se 0.109 0.625 0.984
Se 0.375 0.359 0.484
Se 0.641 0.125 0.016
Se 0.875 0.891 0.516
CELL_PARAMETERS angstrom
-3.059 3.059 6.163
3.059 -3.059 6.163
3.059 3.059 -6.163
! Calculated total energy   -0.2142 Ry/atom
! Space group   I-42d (122)
! E_form (uncorrected)   -0.697 eV per atom
! Polymorph energy (0 for the lowest one)   25 meV/atom
! Theoretical density   5.51 g/cm3

---

Record 4
! MgHgSe2 | the Alexandria database | PBE-GGA | relaxed; values from VASP
&SYSTEM
  ibrav = 0, nat = 8, ntyp = 3
/
ATOMIC_SPECIES
Mg 24.30 Mg.upf
Hg 200.59 Hg.upf
Se 78.96 Se.upf
ATOMIC_POSITIONS crystal
Mg 0.375 0.625 0.750
Mg 0.625 0.375 0.250
Hg 0.125 0.875 0.250
Hg 0.875 0.125 0.750
Se 0.142 0.392 0.750
Se 0.392 0.142 0.250
Se 0.608 0.858 0.750
Se 0.858 0.608 0.250
CELL_PARAMETERS angstrom
-2.784 2.784 5.968
2.784 -2.784 5.968
2.784 2.784 -5.968
! Calculated total energy   -0.2083 Ry/atom
! Space group   I4_1/amd (141)
! E_form (uncorrected)   -0.618 eV per atom
! Polymorph energy (0 for the lowest one)   104 meV/atom
! Theoretical density   6.87 g/cm3